1.
{
  "formula": "UAgBi2",
  "functional": "PBE-GGA",
  "state": "optimized geometry",
  "formation_enthalpy_0k_mev_per_atom": 249,
  "lattice_angstrom": [[2.580, 1.490, 4.716], [-2.580, 1.490, 4.716], [0.000, -2.979, 4.716]],
  "species": ["U", "Ag", "Bi", "Bi"],
  "fractional_positions": [[0.000, 0.000, 0.000], [0.500, 0.500, 0.500], [0.240, 0.240, 0.240], [0.760, 0.760, 0.760]]
}

2.
{
  "formula": "ZrGaGe",
  "functional": "PBE-GGA",
  "state": "optimized geometry",
  "formation_enthalpy_0k_mev_per_atom": -256,
  "lattice_angstrom": [[4.630, 0.000, 0.000], [-2.315, 4.010, 0.000], [0.000, 0.000, 2.964]],
  "species": ["Zr", "Ga", "Ge"],
  "fractional_positions": [[0.000, 0.000, 0.000], [0.333, 0.667, 0.500], [0.667, 0.333, 0.500]]
}

3.
{
  "formula": "MgMnCr2",
  "functional": "PBE-GGA",
  "state": "optimized geometry",
  "formation_enthalpy_0k_mev_per_atom": 359,
  "lattice_angstrom": [[1.480, -2.084, 0.000], [1.480, 2.084, 0.000], [0.000, 0.000, 8.438]],
  "species": ["Mg", "Mn", "Cr", "Cr"],
  "fractional_positions": [[0.000, 0.000, 0.000], [0.000, 0.000, 0.500], [0.500, 0.500, 0.277], [0.500, 0.500, 0.723]]
}

4.
{
  "formula": "TeMoWSe3",
  "functional": "PBE-GGA",
  "state": "optimized geometry",
  "de_polymorph_ev_per_fu": 0.12,
  "e_form_raw_ev_per_atom": -0.48,
  "lattice_angstrom": [[3.379, 0.000, 0.000], [-1.690, 2.927, 0.000], [0.000, 0.000, 28.748]],
  "species": ["Te", "Te", "Mo", "Mo", "W", "W", "Se", "Se", "Se", "Se", "Se", "Se"],
  "fractional_positions": [[0.000, 0.000, 0.000], [0.000, 0.000, 0.132], [0.000, 0.000, 0.319], [0.000, 0.000, 0.811], [0.333, 0.667, 0.066], [0.333, 0.667, 0.565], [0.000, 0.000, 0.507], [0.000, 0.000, 0.622], [0.333, 0.667, 0.262], [0.333, 0.667, 0.377], [0.333, 0.667, 0.754], [0.333, 0.667, 0.869]]
}

5.
{
  "formula": "NiHg2Pd6",
  "functional": "PBE-GGA",
  "state": "optimized geometry",
  "formation_enthalpy_0k_mev_per_atom": -22,
  "lattice_angstrom": [[4.521, -2.030, 0.000], [4.521, 2.030, 0.000], [-2.947, 0.000, 7.957]],
  "species": ["Ni", "Hg", "Hg", "Pd", "Pd", "Pd", "Pd", "Pd", "Pd"],
  "fractional_positions": [[0.000, 0.000, 0.000], [0.330, 0.330, 0.433], [0.670, 0.670, 0.567], [0.007, 0.007, 0.682], [0.323, 0.323, 0.103], [0.351, 0.351, 0.795], [0.649, 0.649, 0.205], [0.677, 0.677, 0.897], [0.993, 0.993, 0.318]]
}

6.
{
  "formula": "Ti2VRh9",
  "functional": "PBE-GGA",
  "state": "optimized geometry",
  "formation_enthalpy_0k_mev_per_atom": -550,
  "lattice_angstrom": [[3.837, 0.000, 0.000], [0.000, 3.837, 0.000], [0.000, 0.000, 11.525]],
  "species": ["Ti", "Ti", "V", "Rh", "Rh", "Rh", "Rh", "Rh", "Rh", "Rh", "Rh", "Rh"],
  "fractional_positions": [[0.000, 0.000, 0.166], [0.000, 0.000, 0.834], [0.000, 0.000, 0.500], [0.000, 0.500, 0.000], [0.000, 0.500, 0.338], [0.000, 0.500, 0.662], [0.500, 0.000, 0.000], [0.500, 0.000, 0.338], [0.500, 0.000, 0.662], [0.500, 0.500, 0.168], [0.500, 0.500, 0.500], [0.500, 0.500, 0.832]]
}

Calculated calculated density in order - 11.66, 7.05, 5.84, 7.53, 12.49, 10.50 g cm⁻³